SrWO2 | PBE with a Hubbard U | optimized geometry

**D(E_F)**: 0.0717 states/eV/atom
**Energy**: -6.474 eV per atom
**Symmetry**: No. 8
**Crystal system**: monoclinic

```
data_SrWO2
_chemical_formula_sum 'Sr2 W2 O4'
_symmetry_space_group_name_H-M 'P 1'
_symmetry_Int_Tables_number 1
_symmetry_space_group_name_Hall 'P 1'
_cell_length_a 5.951
_cell_length_b 5.951
_cell_length_c 8.299
_cell_angle_alpha 123.79
_cell_angle_beta 123.79
_cell_angle_gamma 34.27
loop_
_atom_site_label
_atom_site_fract_x
_atom_site_fract_y
_atom_site_fract_z
Sr1 0.000 0.000 0.000
Sr2 0.622 0.622 0.704
W1 0.267 0.267 0.508
W2 0.832 0.832 0.306
O1 0.052 0.052 0.397
O2 0.308 0.308 0.798
O3 0.667 0.667 0.028
O4 0.928 0.928 0.632
```